The following is a DFT calculation (GGA-PBE) of a relaxed NdHg3S4Br crystal.

Cell lengths 7.918, 7.918, 8.588 Å; angles 90.00, 90.00, 120.00 degrees
Sites, in units of the cell vectors:
S 0.712 0.856 0.852
S 0.856 0.712 0.352
S 0.667 0.333 0.631
Hg 0.986 0.493 0.780
Hg 0.507 0.014 0.780
Nd 0.000 0.000 0.608
S 0.856 0.144 0.352
Hg 0.493 0.986 0.280
Hg 0.493 0.507 0.280
Br 0.667 0.333 0.047
S 0.144 0.288 0.852
Hg 0.507 0.493 0.780
S 0.333 0.667 0.131
Nd 0.000 0.000 0.108
S 0.288 0.144 0.352
S 0.144 0.856 0.852
Hg 0.014 0.507 0.280
Br 0.333 0.667 0.547

Calculated values
M_tot	0.00	μB/f.u.
SG	No. 186

=====

The following is a DFT calculation (GGA-PBE) of a relaxed Rb2NiHgBr6 crystal.

Cell lengths 7.580, 7.580, 7.580 Å; angles 60.00, 60.00, 60.00 degrees
Sites, in units of the cell vectors:
Br 0.233 0.767 0.233
Br 0.767 0.767 0.233
Br 0.233 0.233 0.767
Rb 0.750 0.750 0.750
Br 0.767 0.233 0.233
Br 0.233 0.767 0.767
Br 0.767 0.233 0.767
Hg 0.500 0.500 0.500
Rb 0.250 0.250 0.250
Ni 0.000 0.000 0.000

Calculated values
M_tot	0.19	μB/f.u.
SG	No. 225

=====

The following is a DFT calculation (GGA-PBE) of a relaxed Hg5Br2O4 crystal.

Cell lengths 6.242, 8.996, 8.996 Å; angles 96.79, 69.70, 110.30 degrees
Sites, in units of the cell vectors:
Hg 0.250 0.912 0.412
Hg 0.214 0.140 0.140
Br 0.774 0.608 0.608
Br 0.726 0.108 0.108
Hg 0.750 0.088 0.588
O 0.375 0.324 0.969
Br 0.274 0.892 0.892
Hg 0.286 0.640 0.640
Hg 0.750 0.750 0.250
Hg 0.714 0.360 0.360
Br 0.226 0.392 0.392
O 0.480 0.824 0.469
Hg 0.750 0.412 0.912
O 0.125 0.469 0.824
O 0.875 0.531 0.176
Hg 0.786 0.860 0.860
Hg 0.250 0.588 0.088
O 0.520 0.176 0.531
Hg 0.250 0.250 0.750
O 0.980 0.031 0.676
O 0.020 0.969 0.324
O 0.625 0.676 0.031

Calculated values
SG	No. 72

=====

no.,total energy (eV per atom)
1,-3.267
2,-2.674
3,-2.573